# 1
VASP calculation (meta-GGA SCAN) on Er11In6Ge4 at its PBEsol-relaxed geometry.

Computed properties:
The value obtained for the volume is 23.91 A^3/atom. The space-group type is No. 139. The density of states at the Fermi level comes out at 19.58 states/eV/cell. The calculation puts the formation energy at -16.15 eV/f.u.

Lattice parameters (Å, degrees): 11.238 11.238 11.238 119.94 119.94 90.11
Fractional positions:
Er 0.064 0.314 0.750
Er 0.101 0.447 0.346
Er 0.101 0.756 0.654
Er 0.168 0.168 0.000
Er 0.244 0.899 0.346
Er 0.314 0.064 0.750
Er 0.314 0.564 0.250
Er 0.332 0.332 0.664
Er 0.332 0.668 0.000
Er 0.436 0.686 0.750
Er 0.447 0.101 0.346
Er 0.553 0.899 0.654
Er 0.564 0.314 0.250
Er 0.668 0.332 0.000
Er 0.668 0.668 0.336
Er 0.686 0.436 0.750
Er 0.686 0.936 0.250
Er 0.756 0.101 0.654
Er 0.832 0.832 0.000
Er 0.899 0.244 0.346
Er 0.899 0.553 0.654
Er 0.936 0.686 0.250
In 0.035 0.035 0.413
In 0.035 0.623 0.000
In 0.129 0.129 0.258
In 0.129 0.871 0.000
In 0.377 0.377 0.413
In 0.377 0.965 0.000
In 0.623 0.035 0.000
In 0.623 0.623 0.587
In 0.871 0.129 0.000
In 0.871 0.871 0.742
In 0.965 0.377 0.000
In 0.965 0.965 0.587
Ge 0.153 0.500 0.653
Ge 0.250 0.750 0.500
Ge 0.381 0.381 0.000
Ge 0.500 0.153 0.653
Ge 0.500 0.847 0.347
Ge 0.619 0.619 0.000
Ge 0.750 0.250 0.500
Ge 0.847 0.500 0.347

# 2
VASP calculation (meta-GGA SCAN) on La7P12Pd17 at its PBEsol-relaxed geometry.

Computed properties:
The value obtained for the volume is 17.21 A^3/atom. The space-group type is No. 12. The density of states at the Fermi level comes out at 16.47 states/eV/cell. The calculation puts the formation energy at -39.59 eV/f.u.

Lattice parameters (Å, degrees): 12.338 12.338 13.550 111.84 111.84 18.92
Fractional positions:
La 0.000 0.000 0.000
La 0.083 0.083 0.762
La 0.135 0.135 0.500
La 0.266 0.266 0.813
La 0.734 0.734 0.187
La 0.865 0.865 0.500
La 0.917 0.917 0.238
P 0.136 0.136 0.080
P 0.266 0.266 0.383
P 0.311 0.311 0.118
P 0.387 0.387 0.673
P 0.440 0.440 0.426
P 0.489 0.489 0.172
P 0.511 0.511 0.828
P 0.560 0.560 0.574
P 0.613 0.613 0.327
P 0.689 0.689 0.882
P 0.734 0.734 0.617
P 0.864 0.864 0.920
Pd 0.000 0.000 0.500
Pd 0.048 0.048 0.246
Pd 0.165 0.165 0.277
Pd 0.202 0.202 0.987
Pd 0.281 0.281 0.571
Pd 0.339 0.339 0.307
Pd 0.390 0.390 0.041
Pd 0.407 0.407 0.856
Pd 0.474 0.474 0.626
Pd 0.526 0.526 0.374
Pd 0.593 0.593 0.144
Pd 0.610 0.610 0.959
Pd 0.661 0.661 0.693
Pd 0.719 0.719 0.429
Pd 0.798 0.798 0.013
Pd 0.835 0.835 0.723
Pd 0.952 0.952 0.754

# 3
VASP calculation (meta-GGA SCAN) on Y2B6Os at its PBEsol-relaxed geometry.

Computed properties:
The value obtained for the volume is 10.50 A^3/atom. The space-group type is No. 55. The density of states at the Fermi level comes out at 2.77 states/eV/cell. The calculation puts the formation energy at -6.62 eV/f.u.

Lattice parameters (Å, degrees): 9.106 11.471 3.618 90.00 90.00 90.00
Fractional positions:
Y 0.056 0.127 0.000
Y 0.178 0.414 0.000
Y 0.322 0.914 0.000
Y 0.444 0.627 0.000
Y 0.556 0.373 0.000
Y 0.678 0.086 0.000
Y 0.822 0.586 0.000
Y 0.944 0.873 0.000
B 0.017 0.287 0.500
B 0.054 0.567 0.500
B 0.108 0.970 0.500
B 0.131 0.814 0.500
B 0.209 0.233 0.500
B 0.248 0.580 0.500
B 0.252 0.080 0.500
B 0.291 0.733 0.500
B 0.369 0.314 0.500
B 0.392 0.470 0.500
B 0.446 0.067 0.500
B 0.483 0.787 0.500
B 0.517 0.213 0.500
B 0.554 0.933 0.500
B 0.608 0.530 0.500
B 0.631 0.686 0.500
B 0.709 0.267 0.500
B 0.748 0.920 0.500
B 0.752 0.420 0.500
B 0.791 0.767 0.500
B 0.869 0.186 0.500
B 0.892 0.030 0.500
B 0.946 0.433 0.500
B 0.983 0.713 0.500
Os 0.137 0.679 0.000
Os 0.363 0.179 0.000
Os 0.637 0.821 0.000
Os 0.863 0.321 0.000

# 4
VASP calculation (meta-GGA SCAN) on LiCS2Cl at its PBEsol-relaxed geometry.

Computed properties:
The value obtained for the volume is 20.25 A^3/atom. The space-group type is No. 123. The value obtained for the formation energy (no corrections) is 0.43 eV/atom. The density of states at the Fermi level comes out at 1.36 states/eV/cell.

Lattice parameters (Å, degrees): 3.765 3.765 7.143 90.00 90.00 90.00
Fractional positions:
Li 0.000 0.000 0.000
C 0.500 0.500 0.500
S 0.000 0.500 0.500
S 0.500 0.000 0.500
Cl 0.500 0.500 0.000

# 5
VASP calculation (meta-GGA SCAN) on Tl2Se at its PBEsol-relaxed geometry.

Computed properties:
The value obtained for the volume is 32.56 A^3/atom. The space-group type is No. 71. The energy above the most stable polymorph in this dataset comes out at 100 meV per atom. The value obtained for the formation energy (no corrections) is -0.29 eV/atom. The density of states at the Fermi level comes out at 0.12 states/eV/cell.

Lattice parameters (Å, degrees): 5.165 5.165 5.165 120.81 118.82 90.33
Fractional positions:
Tl 0.247 0.247 0.000
Tl 0.753 0.753 0.000
Se 0.500 0.000 0.500

# 6
VASP calculation (meta-GGA SCAN) on KHS2Cl at its PBEsol-relaxed geometry.

Computed properties:
The value obtained for the volume is 19.79 A^3/atom. The space-group type is No. 123. The density of states at the Fermi level comes out at 3.38 states/eV/cell.

Lattice parameters (Å, degrees): 3.858 3.858 6.649 90.00 90.00 90.00
Fractional positions:
K 0.000 0.000 0.000
H 0.500 0.500 0.500
S 0.000 0.500 0.500
S 0.500 0.000 0.500
Cl 0.500 0.500 0.000

# 7
VASP calculation (meta-GGA SCAN) on SeBr3O at its PBEsol-relaxed geometry.

Computed properties:
The value obtained for the volume is 20.21 A^3/atom. The space-group type is No. 221. The energy above the most stable polymorph in this dataset comes out at 248 meV per atom. The value obtained for the formation energy (no corrections) is 0.89 eV/atom. The density of states at the Fermi level comes out at 4.34 states/eV/cell.

Lattice parameters (Å, degrees): 4.658 4.658 4.658 90.00 90.00 90.00
Fractional positions:
Se 0.000 0.000 0.000
Br 0.000 0.500 0.500
Br 0.500 0.000 0.500
Br 0.500 0.500 0.000
O 0.500 0.500 0.500

# 8
VASP calculation (meta-GGA SCAN) on YTi2Tc2 at its PBEsol-relaxed geometry.

Computed properties:
The value obtained for the volume is 18.41 A^3/atom. The space-group type is No. 139. The density of states at the Fermi level comes out at 2.94 states/eV/cell. The calculation puts the formation energy at -0.92 eV/f.u.

Lattice parameters (Å, degrees): 6.245 6.245 6.245 141.90 141.90 54.97
Fractional positions:
Y 0.000 0.000 0.000
Ti 0.250 0.750 0.500
Ti 0.750 0.250 0.500
Tc 0.387 0.387 0.000
Tc 0.613 0.613 0.000

# 9
VASP calculation (meta-GGA SCAN) on Y4CdP at its PBEsol-relaxed geometry.

Computed properties:
The value obtained for the volume is 26.36 A^3/atom. The space-group type is No. 216. The density of states at the Fermi level comes out at 6.99 states/eV/cell. The calculation puts the formation energy at 2.55 eV/f.u.

Lattice parameters (Å, degrees): 6.070 6.070 6.070 60.00 60.00 60.00
Fractional positions:
Y 0.125 0.125 0.125
Y 0.125 0.125 0.625
Y 0.125 0.625 0.125
Y 0.625 0.125 0.125
Cd 0.750 0.750 0.750
P 0.500 0.500 0.500

# 10
VASP calculation (meta-GGA SCAN) on Sc2AsCl at its PBEsol-relaxed geometry.

Computed properties:
The value obtained for the volume is 20.24 A^3/atom. The space-group type is No. 119. The value obtained for the formation energy (no corrections) is -1.03 eV/atom. The density of states at the Fermi level comes out at 1.84 states/eV/cell.

Lattice parameters (Å, degrees): 6.489 6.489 6.489 146.96 146.96 47.43
Fractional positions:
Sc 0.000 0.000 0.000
Sc 0.750 0.250 0.500
As 0.500 0.500 0.000
Cl 0.250 0.750 0.500

# 11
VASP calculation (meta-GGA SCAN) on Sc2AgSn2 at its PBEsol-relaxed geometry.

Computed properties:
The value obtained for the volume is 21.72 A^3/atom. The space-group type is No. 127. The density of states at the Fermi level comes out at 5.34 states/eV/cell. The calculation puts the formation energy at -2.61 eV/f.u.

Lattice parameters (Å, degrees): 7.140 7.140 4.261 90.00 90.00 90.00
Fractional positions:
Sc 0.167 0.333 0.000
Sc 0.333 0.833 0.000
Sc 0.667 0.167 0.000
Sc 0.833 0.667 0.000
Ag 0.000 0.000 0.500
Ag 0.500 0.500 0.500
Sn 0.140 0.640 0.500
Sn 0.360 0.140 0.500
Sn 0.640 0.860 0.500
Sn 0.860 0.360 0.500

# 12
VASP calculation (meta-GGA SCAN) on KCaAs2 at its PBEsol-relaxed geometry.

Computed properties:
The value obtained for the volume is 24.76 A^3/atom. The space-group type is No. 119. The energy above the most stable polymorph in this dataset comes out at 511 meV per atom. The density of states at the Fermi level comes out at 4.77 states/eV/cell. The calculation puts the formation energy at -1.33 eV/f.u.

Lattice parameters (Å, degrees): 6.009 6.009 6.009 137.18 137.18 62.16
Fractional positions:
K 0.000 0.000 0.000
Ca 0.250 0.750 0.500
As 0.500 0.500 0.000
As 0.750 0.250 0.500

| no. | E_tot (eV/cell) |
| --- | --- |
| 1 | -1693.1 |
| 2 | -1023.3 |
| 3 | -715.0 |
| 4 | -37.6 |
| 5 | -165.7 |
| 6 | -39.6 |
| 7 | -80.2 |
| 8 | -130.9 |
| 9 | -149.6 |
| 10 | -60.8 |
| 11 | -268.6 |
| 12 | -59.7 |